Record 1
Computed, not measured: BeMo2PPt after structural relaxation at the PBE level of DFT.

abc: 4.8700 4.8700 4.0392
angles: 90.00 90.00 90.00
Positions (direct):
Be 0.0000 0.0000 0.0000
Mo 0.0000 0.5000 0.5000
Mo 0.5000 0.0000 0.5000
P 0.5000 0.5000 0.0000
Pt 0.0000 0.0000 0.5000

Computed properties:
Crystal system = tetragonal
Formation energy = 1.274 eV/atom


Record 2
Computed, not measured: NiPtSe2Br after structural relaxation at the PBE level of DFT.

abc: 4.7049 4.7049 4.6770
angles: 90.00 90.00 90.00
Positions (direct):
Ni 0.0000 0.0000 0.0000
Pt 0.5000 0.5000 0.5000
Se 0.0000 0.5000 0.0000
Se 0.5000 0.0000 0.0000
Br 0.0000 0.0000 0.5000

Computed properties:
Crystal system = tetragonal
Distance to the lowest polymorph of the same formula = 0 meV per atom
Formation energy from raw total energies = 3.5 eV per formula unit


Record 3
Computed, not measured: ThAlNiN after structural relaxation at the PBE level of DFT.

abc: 3.7893 3.7893 8.6889
angles: 90.00 90.00 90.00
Positions (direct):
Th 0.2500 0.2500 0.1559
Th 0.7500 0.7500 0.8441
Al 0.2500 0.2500 0.6572
Al 0.7500 0.7500 0.3428
Ni 0.2500 0.7500 0.5000
Ni 0.7500 0.2500 0.5000
N 0.2500 0.2500 0.8811
N 0.7500 0.7500 0.1189

Computed properties:
Crystal system = tetragonal
Formation energy from raw total energies = -3.8 eV per formula unit


Record 4
Computed, not measured: NiPb2Se after structural relaxation at the PBE level of DFT.

abc: 7.9623 7.9623 7.9623
angles: 155.25 153.15 36.84
Positions (direct):
Ni 0.0000 0.0000 0.0000
Pb 0.1639 0.6639 0.5000
Pb 0.8361 0.3361 0.5000
Se 0.5000 0.5000 0.0000

Computed properties:
Crystal system = orthorhombic
Formation energy from raw total energies = 0.0 eV per formula unit


Record 5
Computed, not measured: LaPm2YEr5 after structural relaxation at the PBE level of DFT.

abc: 9.8704 9.8704 9.8704
angles: 127.37 127.37 77.65
Positions (direct):
La 0.2500 0.2500 0.0000
La 0.7500 0.7500 0.0000
Pm 0.1161 0.6161 0.7322
Pm 0.3839 0.1161 0.5000
Pm 0.6161 0.8839 0.5000
Pm 0.8839 0.3839 0.2678
Y 0.2500 0.7500 0.5000
Y 0.7500 0.2500 0.5000
Er 0.0000 0.0000 0.0000
Er 0.0740 0.1550 0.5000
Er 0.1550 0.6550 0.0809
Er 0.3450 0.4260 0.5000
Er 0.4260 0.9260 0.0809
Er 0.5000 0.5000 0.0000
Er 0.5740 0.0740 0.9191
Er 0.6550 0.5740 0.5000
Er 0.8450 0.3450 0.9191
Er 0.9260 0.8450 0.5000

Computed properties:
Crystal system = tetragonal
Formation energy = 0.259 eV/atom


Record 6
Computed, not measured: In2GaTcH after structural relaxation at the PBE level of DFT.

abc: 4.8756 4.8756 3.4465
angles: 90.00 90.00 90.00
Positions (direct):
In 0.0000 0.5000 0.0000
In 0.5000 0.0000 0.0000
Ga 0.0000 0.0000 0.5000
Tc 0.5000 0.5000 0.5000
H 0.5000 0.5000 0.0000

Computed properties:
Crystal system = tetragonal
Total energy = -4.1032 eV per atom


Record 7
Computed, not measured: LiCa2CrSe after structural relaxation at the PBE level of DFT.

abc: 5.5271 5.5271 4.4838
angles: 90.00 90.00 90.00
Positions (direct):
Li 0.0000 0.0000 0.0000
Ca 0.0000 0.5000 0.0000
Ca 0.5000 0.0000 0.0000
Cr 0.0000 0.0000 0.5000
Se 0.5000 0.5000 0.5000

Computed properties:
Crystal system = tetragonal
Formation energy from raw total energies = 1.1 eV per formula unit


Record 8
Computed, not measured: Hf3ScGe after structural relaxation at the PBE level of DFT.

abc: 5.0123 5.0123 5.0123
angles: 90.00 90.00 90.00
Positions (direct):
Hf 0.0000 0.0000 0.5000
Hf 0.0000 0.5000 0.0000
Hf 0.5000 0.0000 0.0000
Sc 0.5000 0.5000 0.5000
Ge 0.0000 0.0000 0.0000

Computed properties:
Crystal system = cubic
Distance to the lowest polymorph of the same formula = 0 meV per atom
Formation energy = 0.308 eV/atom


Record 9
Computed, not measured: BaLa after structural relaxation at the PBE level of DFT.

abc: 6.3224 3.9756 7.4680
angles: 90.00 90.00 90.00
Positions (direct):
Ba 0.2500 0.0000 0.1582
Ba 0.7500 0.0000 0.8418
La 0.2500 0.5000 0.6225
La 0.7500 0.5000 0.3775

Computed properties:
Crystal system = orthorhombic
Distance to the lowest polymorph of the same formula = 110 meV per atom
Formation energy = 0.207 eV/atom


Record 10
Computed, not measured: Ca2YHo after structural relaxation at the PBE level of DFT.

abc: 5.1290 5.1290 5.4610
angles: 90.00 90.00 90.00
Positions (direct):
Ca 0.0000 0.5000 0.0000
Ca 0.5000 0.0000 0.0000
Y 0.0000 0.0000 0.5000
Ho 0.5000 0.5000 0.5000

Computed properties:
Crystal system = tetragonal
Distance to the lowest polymorph of the same formula = 48 meV per atom
Formation energy = 0.182 eV/atom


Record 11
Computed, not measured: PaIn2Ag after structural relaxation at the PBE level of DFT.

abc: 11.4133 11.4133 11.4133
angles: 15.93 15.93 15.93
Positions (direct):
Pa 0.0000 0.0000 0.0000
In 0.0952 0.0952 0.0952
In 0.9048 0.9048 0.9048
Ag 0.5000 0.5000 0.5000

Computed properties:
Crystal system = trigonal
Distance to the lowest polymorph of the same formula = 253 meV per atom
Formation energy = 0.234 eV/atom


Record 12
Computed, not measured: CaAsI3 after structural relaxation at the PBE level of DFT.

abc: 6.1064 6.1064 6.1064
angles: 90.00 90.00 90.00
Positions (direct):
Ca 0.0000 0.0000 0.0000
As 0.5000 0.5000 0.5000
I 0.0000 0.0000 0.5000
I 0.0000 0.5000 0.0000
I 0.5000 0.0000 0.0000

Computed properties:
Crystal system = cubic
Distance to the lowest polymorph of the same formula = 36 meV per atom
Formation energy from raw total energies = -1.3 eV per formula unit


What did we get for M_tot? Answer: 0.49, 0.00, 0.00, 0.00, 0.00, 0.00, 0.92, 0.00, 0.11, 0.36, 0.09, 0.40 μB per atom, in the order shown.